(1)
VASP calculation (PBE) on a relaxed structure of Rb2Ce2HfSe6.

Summary:
The calculation puts the formation energy without anion corrections at -1.5752 eV/atom. The total energy is -5.636 eV per atom.

The structure in CIF format:
```
data_Rb2Ce2HfSe6
_chemical_formula_sum 'Rb4 Ce4 Hf2 Se12'
_space_group_name_H-M_alt 'C 1 2/m 1'
_space_group_IT_number 12
_cell_length_a 7.309
_cell_length_b 12.488
_cell_length_c 8.542
_cell_angle_alpha 90.00
_cell_angle_beta 106.95
_cell_angle_gamma 90.00
loop_
_space_group_symop_operation_xyz
'x,y,z'
'-x,-y,-z'
'-x,y,-z'
'x,-y,z'
'x+1/2,y+1/2,z'
'-x+1/2,-y+1/2,-z'
'-x+1/2,y+1/2,-z'
'x+1/2,-y+1/2,z'
loop_
_atom_site_label
_atom_site_type_symbol
_atom_site_fract_x
_atom_site_fract_y
_atom_site_fract_z
Rb1 Rb 0.000 0.171 0.000
Ce1 Ce 0.000 0.334 0.500
Hf1 Hf 0.000 0.000 0.500
Se1 Se 0.220 0.154 0.691
Se2 Se 0.240 0.000 0.310
```

---

(2)
VASP calculation (PBE) on a relaxed structure of Tb6GeAs2Se3.

Summary:
The calculation puts the formation energy without anion corrections at -1.6268 eV/atom. The total energy is -5.973 eV per atom.

The structure in CIF format:
```
data_Tb6GeAs2Se3
_chemical_formula_sum 'Tb12 Ge2 As4 Se6'
_space_group_name_H-M_alt 'C 1 2/m 1'
_space_group_IT_number 12
_cell_length_a 18.038
_cell_length_b 4.134
_cell_length_c 8.268
_cell_angle_alpha 90.00
_cell_angle_beta 103.41
_cell_angle_gamma 90.00
loop_
_space_group_symop_operation_xyz
'x,y,z'
'-x,-y,-z'
'-x,y,-z'
'x,-y,z'
'x+1/2,y+1/2,z'
'-x+1/2,-y+1/2,-z'
'-x+1/2,y+1/2,-z'
'x+1/2,-y+1/2,z'
loop_
_atom_site_label
_atom_site_type_symbol
_atom_site_fract_x
_atom_site_fract_y
_atom_site_fract_z
Tb1 Tb 0.002 0.000 0.241
Tb2 Tb 0.163 0.500 0.087
Tb3 Tb 0.169 0.500 0.577
Ge1 Ge 0.000 0.500 0.000
As1 As 0.167 0.000 0.334
Se1 Se 0.000 0.500 0.500
Se2 Se 0.168 0.000 0.833
```

---

(3)
VASP calculation (PBE) on a relaxed structure of YZnOs2.

Summary:
For the formation energy, the calculation gives 0.447 eV/atom. The total energy is -7.102 eV per atom.

The structure in CIF format:
```
data_YZnOs2
_chemical_formula_sum 'Y2 Zn2 Os4'
_space_group_name_H-M_alt 'C m m m'
_space_group_IT_number 65
_space_group_name_Hall '-C 2 2'
_cell_length_a 3.180
_cell_length_b 4.752
_cell_length_c 8.832
_cell_angle_alpha 90.00
_cell_angle_beta 90.00
_cell_angle_gamma 90.00
loop_
_atom_site_label
_atom_site_type_symbol
_atom_site_fract_x
_atom_site_fract_y
_atom_site_fract_z
Y1 Y 0.000 0.000 0.000
Zn1 Zn 0.000 0.000 0.500
Os1 Os 0.000 0.500 0.265
```